10
Lattice="-0.3397 4.2078 6.0500 3.7278 -5.1263 3.7747 2.3710 1.2050 -0.7050" Properties=species:S:1:pos:R:3 comment="V2Pt2Rh PBE relaxed" e_above_lowest_polymorph_mev_per_atom=83 sg="P4/mbm (127)" crystal_system=tetragonal final_energy_ev_per_atom=-7.86 vol_a3_per_atom=15.0 pbc="T T T"
Rh 1.6941 -0.4593 4.9123
Pt 3.1181 -2.9032 5.5243
Pt 1.3359 -1.3515 2.1827
V 1.7050 1.1246 2.2869
Rh 0.0000 0.0000 0.0000
V 3.6236 -2.1163 3.1998
Pt 0.2700 1.9847 4.3004
Pt 2.0522 0.4330 7.6420
V 4.0541 -0.8380 6.8328
V 2.1355 2.4028 5.9198


8
Lattice="2.7044 0.0000 0.0000 0.0000 5.2819 0.0000 -1.3522 -2.6409 8.6514" Properties=species:S:1:pos:R:3 comment="VPt4Rh3 PBE relaxed" sg="Immm (71)" crystal_system=orthorhombic final_energy_ev_per_atom=-6.91 vol_a3_per_atom=15.4 pbc="T T T"
Pt 1.3522 3.9441 2.1022
Rh 1.3522 2.6409 4.5949
Pt 1.3522 1.3378 2.1022
V 1.3522 0.0000 0.0000
Rh 0.0000 2.6409 0.0000
Pt 0.0000 -1.3031 6.5492
Pt 0.0000 1.3032 6.5492
Rh 0.0000 0.0000 4.0565


12
Lattice="-2.6645 -3.9075 -0.2309 0.9499 -0.1679 -8.1221 4.5846 -1.1154 0.5592" Properties=species:S:1:pos:R:3 comment="VPtRh PBE relaxed" e_above_lowest_polymorph_mev_per_atom=58 sg="C2 (5)" crystal_system=monoclinic final_energy_ev_per_atom=-7.94 vol_a3_per_atom=14.3 pbc="T T T"
Rh 1.4016 -2.5894 -3.6109
Rh -1.0402 -2.0053 -2.6130
V -0.7235 -2.0613 -5.3210
V 1.0939 -2.5351 -0.9803
Rh 1.7271 -2.6470 -6.3944
Pt 2.5597 -0.6050 -2.0070
Pt 0.7424 -0.1312 -6.3477
V 0.4240 -0.0749 -3.6256
Pt 0.1137 -0.0201 -0.9718
Rh -0.4158 -2.1157 -7.9516
Pt 2.8809 -0.6617 -4.7533
V 3.1913 -0.7166 -7.4071


no.,formation energy from the elements (meV/atom)
1,-326
2,5
3,-437